CeZnAu2 | SCAN | PBEsol geometry

Output
spin magnetization: 0.25 μB per atom
energy relative to the elements: -0.62 eV/atom
calculated density: 12.5 g cm⁻³
SG: No. 225

Structure (POSCAR):
```
CeZnAu2
1.0
0.0000 3.4126 3.4126
3.4126 0.0000 3.4126
3.4126 3.4126 0.0000
Ce Zn Au
1 1 2
direct
0.0000 0.0000 0.0000 Ce
0.5000 0.5000 0.5000 Zn
0.2500 0.2500 0.2500 Au
0.7500 0.7500 0.7500 Au
```

---

AuCl | SCAN | PBEsol geometry

Output
spin magnetization: 0.00 μB per atom
formation energy (no corrections): -0.26 eV/atom
calculated density: 8.4 g cm⁻³
SG: No. 67

Structure (POSCAR):
```
AuCl
1.0
1.7500 -3.2434 0.0000
1.7500 3.2434 0.0000
0.0000 0.0000 8.1313
Au Cl
2 2
direct
0.2500 0.7500 0.8858 Au
0.7500 0.2500 0.1142 Au
0.2500 0.7500 0.3142 Cl
0.7500 0.2500 0.6858 Cl
```

---

Au3Cl | SCAN | PBEsol geometry

Output
spin magnetization: 0.00 μB per atom
energy above the lowest structure with this stoichiometry: 286 meV/atom
formation energy (no corrections): 0.34 eV/atom
calculated density: 14.9 g cm⁻³
SG: No. 139

Structure (POSCAR):
```
Au3Cl
1.0
-2.0808 2.0808 4.0353
2.0808 -2.0808 4.0353
2.0808 2.0808 -4.0353
Au Cl
3 1
direct
0.0000 0.0000 0.0000 Au
0.2500 0.7500 0.5000 Au
0.7500 0.2500 0.5000 Au
0.5000 0.5000 0.0000 Cl
```

---

AuCl | SCAN | PBEsol geometry

Output
spin magnetization: 0.00 μB per atom
formation energy (no corrections): -0.23 eV/atom
calculated density: 7.8 g cm⁻³
SG: No. 138

Structure (POSCAR):
```
AuCl
1.0
4.1454 0.0000 0.0000
0.0000 4.1454 0.0000
0.0000 0.0000 11.5197
Au Cl
4 4
direct
0.0000 0.0000 0.0000 Au
0.0000 0.5000 0.5000 Au
0.5000 0.0000 0.5000 Au
0.5000 0.5000 0.0000 Au
0.2500 0.2500 0.1565 Cl
0.2500 0.2500 0.6565 Cl
0.7500 0.7500 0.3435 Cl
0.7500 0.7500 0.8435 Cl
```